VASP calculation (GGA+U) on a relaxed structure of V3MoO.

abc: 4.8811 4.8811 4.8811
angles: 90.00 90.00 90.00
Last column: magnetic moment on the atom in μB.
Element x y z (fractional)
Mo: 0.0000 0.0000 0.0000  -2.46
O: 0.5000 0.5000 0.5000  -0.22
V: 0.0000 0.5000 0.0000  2.76
V: 0.0000 0.0000 0.5000  2.76
V: 0.5000 0.0000 0.0000  2.76

Properties
- VASP energy: -4.671 eV per atom
- Crystal system: cubic
- Space group: Pm-3m (221)